[1]
Material: BeZnIr2
Method: DFT, SCAN
State: single point on PBEsol structure

Energy above the most stable polymorph in this dataset   0.80 eV per formula unit
Formation energy   -0.20 eV/atom
Magnetic moment   0.00 μB/f.u.
DOS(E_F)   0.576 states/eV per atom
Crystal system   orthorhombic

Lattice parameters (Å, degrees): 2.8194 4.0871 8.6025 90.00 90.00 90.00
Space group Imm2 (No. 44)
Inequivalent atoms, fractional coordinates:
Be 0.0000 0.0000 0.0000 (multiplicity 2)
Zn 0.0000 0.5000 0.2641 (multiplicity 2)
Ir 0.0000 0.0000 0.4856 (multiplicity 2)
Ir 0.0000 0.5000 0.7208 (multiplicity 2)

***

[2]
Material: ZrBe2Ir
Method: DFT, SCAN
State: single point on PBEsol structure

Energy above the most stable polymorph in this dataset   0.12 eV per formula unit
Formation energy   -0.65 eV/atom
Magnetic moment   0.00 μB/f.u.
DOS(E_F)   0.275 states/eV per atom
Crystal system   cubic

Lattice parameters (Å, degrees): 5.8480 5.8480 5.8480 90.00 90.00 90.00
Space group Fm-3m (No. 225)
Inequivalent atoms, fractional coordinates:
Zr 0.0000 0.0000 0.0000 (multiplicity 4)
Be 0.2500 0.2500 0.2500 (multiplicity 8)
Ir 0.0000 0.0000 0.5000 (multiplicity 4)

***

[3]
Material: ZrBe2Ir
Method: DFT, SCAN
State: single point on PBEsol structure

Energy above the most stable polymorph in this dataset   1.74 eV per formula unit
Formation energy   -0.24 eV/atom
Magnetic moment   0.00 μB/f.u.
DOS(E_F)   0.557 states/eV per atom
Crystal system   orthorhombic

Lattice parameters (Å, degrees): 5.3749 6.3885 2.9966 90.00 90.00 90.00
Space group Cmmm (No. 65)
Inequivalent atoms, fractional coordinates:
Zr 0.0000 0.0000 0.0000 (multiplicity 2)
Be 0.2500 0.2500 0.5000 (multiplicity 4)
Ir 0.0000 0.5000 0.0000 (multiplicity 2)